FeOs2W: optimized geometry, PBE.

abc: 8.9660 8.9660 8.9660
angles: 17.58 17.58 17.58
Atoms (fractional coordinates):
Os (0.4965, 0.4965, 0.4965)
Os (0.0035, 0.0035, 0.0035)
W (0.2500, 0.2500, 0.2500)
Fe (0.7500, 0.7500, 0.7500)

## Properties
- crystal system = trigonal
- E_form (meV per atom) = 176
- polymorph energy (0 for the lowest one) (eV/atom) = 0.134
- M_tot (μB per formula unit) = 2.4